Entry 1:
DFT (PBE-GGA) results for crystalline MnIn2Os at its relaxed geometry.

Cell: 9.1993 3.1966 4.9641 Å, 90.00 101.85 90.00°
Space group C2/m (No. 12)
One atom of each set of equivalent atoms:
Mn  0.0000  0.0000  0.0000 x2
In  0.2450  0.0000  0.7441 x4
Os  0.0000  0.5000  0.5000 x2

Calculated values
- energy of formation (eV per atom) = 0.434
- VASP energy (eV for the cell shown) = -48.28

Entry 2:
DFT (PBE-GGA) results for crystalline MnIn2Os at its relaxed geometry.

Cell: 4.5382 4.5382 3.3583 Å, 90.00 90.00 90.00°
Space group P4/mmm (No. 123)
One atom of each set of equivalent atoms:
Mn  0.0000  0.0000  0.0000 x1
In  0.0000  0.5000  0.5000 x2
Os  0.5000  0.5000  0.0000 x1

Calculated values
- energy of formation (eV per atom) = 0.413
- VASP energy (eV for the cell shown) = -24.23

Entry 3:
DFT (PBE-GGA) results for crystalline MnIn2Os at its relaxed geometry.

Cell: 4.2727 4.2727 7.6498 Å, 90.00 90.00 90.00°
Space group I4/mmm (No. 139)
One atom of each set of equivalent atoms:
Mn  0.0000  0.0000  0.0000 x2
In  0.0000  0.5000  0.2500 x4
Os  0.0000  0.0000  0.5000 x2

Calculated values
- energy of formation (eV per atom) = 0.343
- VASP energy (eV for the cell shown) = -49.01

Entry 4:
DFT (PBE-GGA) results for crystalline MnInOs at its relaxed geometry.

Cell: 3.0578 4.8346 13.3669 Å, 90.00 90.00 90.00°
Space group Fmm2 (No. 42)
One atom of each set of equivalent atoms:
Mn  0.0000  0.0000  0.0000 x4
In  0.0000  0.0000  0.3247 x4
Os  0.0000  0.0000  0.6451 x4

Calculated values
- energy of formation (eV per atom) = 0.502
- VASP energy (eV for the cell shown) = -86.52

Entry 5:
DFT (PBE-GGA) results for crystalline Mn2InOs at its relaxed geometry.

Cell: 2.8949 2.8949 7.3046 Å, 90.00 90.00 90.00°
Space group P4mm (No. 99)
One atom of each set of equivalent atoms:
Mn  0.0000  0.0000  0.0000 x1
Mn  0.5000  0.5000  0.2267 x1
In  0.5000  0.5000  0.7110 x1
Os  0.0000  0.0000  0.4211 x1

Calculated values
- energy of formation (eV per atom) = 0.236
- VASP energy (eV for the cell shown) = -31.36

Entry 6:
DFT (PBE-GGA) results for crystalline MnIn2Os at its relaxed geometry.

Cell: 3.0386 3.0386 26.7925 Å, 90.00 90.00 120.00°
Space group R-3m (No. 166, hexagonal axes)
One atom of each set of equivalent atoms:
Mn  0.0000  0.0000  0.0000 x3
In  0.0000  0.0000  0.2489 x6
Os  0.0000  0.0000  0.5000 x3

Calculated values
- energy of formation (eV per atom) = 0.498
- VASP energy (eV for the cell shown) = -71.65

Entry 7:
DFT (PBE-GGA) results for crystalline Mn2InOs at its relaxed geometry.

Cell: 6.2994 6.2994 6.2994 Å, 90.00 90.00 90.00°
Space group F-43m (No. 216)
One atom of each set of equivalent atoms:
Mn  0.0000  0.0000  0.0000 x4
Mn  0.2500  0.2500  0.2500 x4
In  0.0000  0.0000  0.5000 x4
Os  0.2500  0.2500  0.7500 x4

Calculated values
- energy of formation (eV per atom) = 0.366
- VASP energy (eV for the cell shown) = -123.37

Entry 8:
DFT (PBE-GGA) results for crystalline MnInOs2 at its relaxed geometry.

Cell: 9.0081 2.8530 4.9307 Å, 90.00 102.61 90.00°
Space group C2/m (No. 12)
One atom of each set of equivalent atoms:
Mn  0.0000  0.0000  0.0000 x2
In  0.0000  0.5000  0.5000 x2
Os  0.2335  0.5000  0.2134 x4

Calculated values
- energy of formation (eV per atom) = 0.322
- VASP energy (eV for the cell shown) = -66.16

Entry 9:
DFT (PBE-GGA) results for crystalline MnInOs2 at its relaxed geometry.

Cell: 2.8283 4.1785 5.4243 Å, 90.00 102.49 90.00°
Space group P2/m (No. 10)
One atom of each set of equivalent atoms:
Mn  0.0000  0.0000  0.0000 x1
In  0.0000  0.0000  0.5000 x1
Os  0.3755  0.5000  0.2189 x2

Calculated values
- energy of formation (eV per atom) = 0.423
- VASP energy (eV for the cell shown) = -32.68

Entry 10:
DFT (PBE-GGA) results for crystalline Mn2InOs at its relaxed geometry.

Cell: 3.0140 4.7003 8.8272 Å, 90.00 90.00 90.00°
Space group Cmm2 (No. 35)
One atom of each set of equivalent atoms:
Mn  0.0000  0.0000  0.0000 x2
Mn  0.0000  0.5000  0.2329 x2
In  0.0000  0.0000  0.4992 x2
Os  0.0000  0.5000  0.7772 x2

Calculated values
- energy of formation (eV per atom) = 0.534
- VASP energy (eV for the cell shown) = -60.35

Entry 11:
DFT (PBE-GGA) results for crystalline MnInOs4 at its relaxed geometry.

Cell: 7.3559 7.3559 7.3559 Å, 90.00 90.00 90.00°
Space group F-43m (No. 216)
One atom of each set of equivalent atoms:
Mn  0.0000  0.0000  0.0000 x4
In  0.2500  0.2500  0.2500 x4
Os  0.1253  0.1253  0.6253 x16

Calculated values
- energy of formation (eV per atom) = 0.628
- VASP energy (eV for the cell shown) = -212.23

Entry 12:
DFT (PBE-GGA) results for crystalline Mn2InOs at its relaxed geometry.

Cell: 7.1207 7.1207 5.3989 Å, 90.00 90.00 90.00°
Space group I-42d (No. 122)
One atom of each set of equivalent atoms:
Mn  0.2116  0.2500  0.1250 x8
In  0.0000  0.0000  0.5000 x4
Os  0.0000  0.0000  0.0000 x4

Calculated values
- energy of formation (eV per atom) = 0.709
- VASP energy (eV for the cell shown) = -117.88

Entry 13:
DFT (PBE-GGA) results for crystalline MnInOs2 at its relaxed geometry.

Cell: 2.8460 2.8460 7.8994 Å, 90.00 90.00 90.00°
Space group P4mm (No. 99)
One atom of each set of equivalent atoms:
Mn  0.0000  0.0000  0.0000 x1
In  0.5000  0.5000  0.7235 x1
Os  0.0000  0.0000  0.4516 x1
Os  0.5000  0.5000  0.2401 x1

Calculated values
- energy of formation (eV per atom) = 0.251
- VASP energy (eV for the cell shown) = -33.36

Entry 14:
DFT (PBE-GGA) results for crystalline Mn2InOs at its relaxed geometry.

Cell: 2.7934 2.7934 7.5548 Å, 90.00 90.00 90.00°
Space group P4/mmm (No. 123)
One atom of each set of equivalent atoms:
Mn  0.0000  0.0000  0.2220 x2
In  0.5000  0.5000  0.5000 x1
Os  0.5000  0.5000  0.0000 x1

Calculated values
- energy of formation (eV per atom) = 0.206
- VASP energy (eV for the cell shown) = -31.48

Entry 15:
DFT (PBE-GGA) results for crystalline MnInOs2 at its relaxed geometry.

Cell: 2.7961 2.7961 26.6360 Å, 90.00 90.00 120.00°
Space group R3m (No. 160, hexagonal axes)
One atom of each set of equivalent atoms:
Mn  0.0000  0.0000  0.0000 x3
In  0.0000  0.0000  0.2478 x3
Os  0.0000  0.0000  0.4888 x3
Os  0.0000  0.0000  0.7409 x3

Calculated values
- energy of formation (eV per atom) = 0.457
- VASP energy (eV for the cell shown) = -97.62

Entry 16:
DFT (PBE-GGA) results for crystalline MnInOs2 at its relaxed geometry.

Cell: 9.2113 2.8977 4.7708 Å, 90.00 100.56 90.00°
Space group Cm (No. 8)
One atom of each set of equivalent atoms:
Mn  0.0000  0.0000  0.0000 x2
In  0.2596  0.5000  0.2553 x2
Os  0.0157  0.5000  0.5598 x2
Os  0.2531  0.0000  0.7523 x2

Calculated values
- energy of formation (eV per atom) = 0.363
- VASP energy (eV for the cell shown) = -65.83

Entry 17:
DFT (PBE-GGA) results for crystalline MnIn2Os at its relaxed geometry.

Cell: 10.3797 3.0942 4.7225 Å, 90.00 109.71 90.00°
Space group Cm (No. 8)
One atom of each set of equivalent atoms:
Mn  0.0000  0.0000  0.0000 x2
In  0.2376  0.0000  0.8051 x2
In  0.4527  0.0000  0.4593 x2
Os  0.1975  0.5000  0.2773 x2

Calculated values
- energy of formation (eV per atom) = 0.335
- VASP energy (eV for the cell shown) = -49.08

Entry 18:
DFT (PBE-GGA) results for crystalline MnInOs2 at its relaxed geometry.

Cell: 2.8127 2.8127 26.6540 Å, 90.00 90.00 120.00°
Space group R-3m (No. 166, hexagonal axes)
One atom of each set of equivalent atoms:
Mn  0.0000  0.0000  0.0000 x3
In  0.0000  0.0000  0.5000 x3
Os  0.0000  0.0000  0.2584 x6

Calculated values
- energy of formation (eV per atom) = 0.393
- VASP energy (eV for the cell shown) = -98.38

Entry 19:
DFT (PBE-GGA) results for crystalline Mn2InOs at its relaxed geometry.

Cell: 4.3667 4.3667 3.2260 Å, 90.00 90.00 90.00°
Space group P4/mmm (No. 123)
One atom of each set of equivalent atoms:
Mn  0.0000  0.5000  0.0000 x2
In  0.0000  0.0000  0.5000 x1
Os  0.5000  0.5000  0.5000 x1

Calculated values
- energy of formation (eV per atom) = 0.281
- VASP energy (eV for the cell shown) = -31.19

Entry 20:
DFT (PBE-GGA) results for crystalline MnInOs at its relaxed geometry.

Cell: 2.8402 2.8402 11.4045 Å, 90.00 90.00 90.00°
Space group I4mm (No. 107)
One atom of each set of equivalent atoms:
Mn  0.0000  0.0000  0.0000 x2
In  0.0000  0.0000  0.6797 x2
Os  0.0000  0.0000  0.3721 x2

Calculated values
- energy of formation (eV per atom) = 0.247
- VASP energy (eV for the cell shown) = -44.79

Entry 21:
DFT (PBE-GGA) results for crystalline MnIn2Os at its relaxed geometry.

Cell: 3.3509 4.2559 5.4409 Å, 90.00 107.65 90.00°
Space group Pm (No. 6)
One atom of each set of equivalent atoms:
Mn  0.0000  0.0000  0.0000 x1
In  0.4012  0.5000  0.8016 x1
In  0.7202  0.0000  0.4454 x1
Os  0.1240  0.5000  0.2500 x1

Calculated values
- energy of formation (eV per atom) = 0.383
- VASP energy (eV for the cell shown) = -24.34

Entry 22:
DFT (PBE-GGA) results for crystalline MnIn3Os at its relaxed geometry.

Cell: 5.1766 5.1766 5.1766 Å, 90.00 90.00 90.00°
Space group Pm-3m (No. 221)
One atom of each set of equivalent atoms:
Mn  0.0000  0.0000  0.0000 x1
In  0.0000  0.5000  0.5000 x3
Os  0.5000  0.5000  0.5000 x1

Calculated values
- energy of formation (eV per atom) = 0.673
- energy relative to the lowest polymorph listed for this composition (eV per atom) = 0.000
- VASP energy (eV for the cell shown) = -25.25

Entry 23:
DFT (PBE-GGA) results for crystalline Mn2InOs at its relaxed geometry.

Cell: 8.9769 2.8568 4.7584 Å, 90.00 101.37 90.00°
Space group Cm (No. 8)
One atom of each set of equivalent atoms:
Mn  0.0000  0.0000  0.0000 x2
Mn  0.2498  0.0000  0.7570 x2
In  0.2576  0.5000  0.2590 x2
Os  0.0153  0.5000  0.5633 x2

Calculated values
- energy of formation (eV per atom) = 0.279
- VASP energy (eV for the cell shown) = -62.38

Entry 24:
DFT (PBE-GGA) results for crystalline MnIn2Os at its relaxed geometry.

Cell: 3.0340 4.6252 5.1512 Å, 90.00 92.58 90.00°
Space group P2/m (No. 10)
One atom of each set of equivalent atoms:
Mn  0.0000  0.0000  0.0000 x1
In  0.2500  0.5000  0.7482 x2
Os  0.5000  0.0000  0.5000 x1

Calculated values
- energy of formation (eV per atom) = 0.515
- VASP energy (eV for the cell shown) = -23.81

Entry 25:
DFT (PBE-GGA) results for crystalline MnInOs2 at its relaxed geometry.

Cell: 3.0494 3.0494 6.5615 Å, 90.00 90.00 90.00°
Space group P4/mmm (No. 123)
One atom of each set of equivalent atoms:
Mn  0.0000  0.0000  0.0000 x1
In  0.0000  0.0000  0.5000 x1
Os  0.5000  0.5000  0.2144 x2

Calculated values
- energy of formation (eV per atom) = 0.292
- VASP energy (eV for the cell shown) = -33.20

Entry 26:
DFT (PBE-GGA) results for crystalline MnInOs2 at its relaxed geometry.

Cell: 6.2958 6.2958 6.2958 Å, 90.00 90.00 90.00°
Space group F-43m (No. 216)
One atom of each set of equivalent atoms:
Mn  0.0000  0.0000  0.0000 x4
In  0.2500  0.2500  0.2500 x4
Os  0.0000  0.0000  0.5000 x4
Os  0.2500  0.2500  0.7500 x4

Calculated values
- energy of formation (eV per atom) = 0.549
- VASP energy (eV for the cell shown) = -128.69

Entry 27:
DFT (PBE-GGA) results for crystalline MnInOs2 at its relaxed geometry.

Cell: 4.0029 4.0029 3.8571 Å, 90.00 90.00 90.00°
Space group P4/mmm (No. 123)
One atom of each set of equivalent atoms:
Mn  0.0000  0.0000  0.0000 x1
In  0.5000  0.5000  0.0000 x1
Os  0.0000  0.5000  0.5000 x2

Calculated values
- energy of formation (eV per atom) = 0.471
- VASP energy (eV for the cell shown) = -32.48

Entry 28:
DFT (PBE-GGA) results for crystalline Mn2InOs2 at its relaxed geometry.

Cell: 7.2959 7.2959 2.7280 Å, 90.00 90.00 90.00°
Space group P4/mbm (No. 127)
One atom of each set of equivalent atoms:
Mn  0.1220  0.3780  0.0000 x4
In  0.0000  0.0000  0.0000 x2
Os  0.1620  0.6620  0.5000 x4

Calculated values
- energy of formation (eV per atom) = 0.337
- energy relative to the lowest polymorph listed for this composition (eV per atom) = 0.031
- VASP energy (eV for the cell shown) = -83.70

Entry 29:
DFT (PBE-GGA) results for crystalline MnIn2Os at its relaxed geometry.

Cell: 3.0677 3.0677 27.1274 Å, 90.00 90.00 120.00°
Space group R3m (No. 160, hexagonal axes)
One atom of each set of equivalent atoms:
Mn  0.0000  0.0000  0.0000 x3
In  0.0000  0.0000  0.2485 x3
In  0.0000  0.0000  0.4831 x3
Os  0.0000  0.0000  0.7311 x3

Calculated values
- energy of formation (eV per atom) = 0.396
- VASP energy (eV for the cell shown) = -72.88

Entry 30:
DFT (PBE-GGA) results for crystalline Mn2InOs at its relaxed geometry.

Cell: 3.9236 3.9236 7.6256 Å, 90.00 90.00 90.00°
Space group I-4m2 (No. 119)
One atom of each set of equivalent atoms:
Mn  0.0000  0.0000  0.0000 x2
Mn  0.0000  0.5000  0.2500 x2
In  0.0000  0.0000  0.5000 x2
Os  0.0000  0.5000  0.7500 x2

Calculated values
- energy of formation (eV per atom) = 0.348
- VASP energy (eV for the cell shown) = -61.83